The following is a DFT calculation (PBE) of a relaxed structure of SrCr2I.

Unit cell a=5.506 b=5.506 c=5.506 alpha=60.00 beta=60.00 gamma=60.00
Atoms (fractional coordinates):
I  0.500  0.500  0.500
Sr  0.000  0.000  0.000
Cr  0.250  0.250  0.250
Cr  0.750  0.750  0.750

Values from the calculation:
energy relative to the elements, uncorrected: 3.542 eV/f.u.
E_tot: -18.94 eV for the cell shown
calculated volume: 29.508 A^3/atom
density of states at the Fermi level: 3.801 states/eV per cell

---

The following is a DFT calculation (PBE) of a relaxed structure of SrCr2I.

Unit cell a=4.774 b=4.774 c=10.457 alpha=76.81 beta=76.81 gamma=90.00
Atoms (fractional coordinates):
I  0.000  0.000  0.000
I  0.750  0.250  0.500
Sr  0.500  0.500  0.000
Sr  0.250  0.750  0.500
Cr  0.875  0.125  0.250
Cr  0.875  0.625  0.250
Cr  0.375  0.125  0.750
Cr  0.875  0.125  0.750

Values from the calculation:
energy relative to the elements, uncorrected: 3.405 eV/f.u.
E_tot: -38.15 eV for the cell shown
calculated volume: 28.193 A^3/atom
density of states at the Fermi level: 7.864 states/eV per cell

---

The following is a DFT calculation (PBE) of a relaxed structure of Sr4CrI2.

Unit cell a=6.364 b=6.364 c=9.601 alpha=70.64 beta=70.64 gamma=90.00
Atoms (fractional coordinates):
I  0.612  0.612  0.775
I  0.388  0.388  0.225
Sr  0.806  0.806  0.387
Sr  0.194  0.194  0.613
Sr  0.000  0.500  0.000
Sr  0.500  0.000  0.000
Cr  0.000  0.000  0.000

Values from the calculation:
energy relative to the elements, uncorrected: -1.366 eV/f.u.
E_tot: -20.82 eV for the cell shown
calculated volume: 49.065 A^3/atom
density of states at the Fermi level: 6.342 states/eV per cell

---

The following is a DFT calculation (PBE) of a relaxed structure of SrCr3I.

Unit cell a=5.998 b=5.998 c=5.998 alpha=90.00 beta=90.00 gamma=90.00
Atoms (fractional coordinates):
I  0.500  0.500  0.500
Sr  0.000  0.000  0.000
Cr  0.000  0.500  0.000
Cr  0.000  0.000  0.500
Cr  0.500  0.000  0.000

Values from the calculation:
energy relative to the elements, uncorrected: 9.923 eV/f.u.
E_tot: -22.18 eV for the cell shown
calculated volume: 43.149 A^3/atom
density of states at the Fermi level: 4.279 states/eV per cell

---

The following is a DFT calculation (PBE) of a relaxed structure of SrCr2WI.

Unit cell a=4.689 b=5.621 c=4.689 alpha=90.00 beta=90.00 gamma=90.00
Atoms (fractional coordinates):
I  0.000  0.000  0.000
Sr  0.000  0.500  0.000
W  0.500  0.500  0.500
Cr  0.000  0.000  0.500
Cr  0.500  0.000  0.000

Values from the calculation:
energy relative to the elements, uncorrected: 12.048 eV/f.u.
E_tot: -23.38 eV for the cell shown
calculated volume: 24.715 A^3/atom
density of states at the Fermi level: 13.391 states/eV per cell

---

The following is a DFT calculation (PBE) of a relaxed structure of TaCr2I.

Unit cell a=4.447 b=4.447 c=4.447 alpha=60.00 beta=60.00 gamma=60.00
Atoms (fractional coordinates):
I  0.000  0.000  0.000
Cr  0.250  0.250  0.250
Cr  0.750  0.750  0.750
Ta  0.500  0.500  0.500

Values from the calculation:
energy relative to the elements, uncorrected: 3.727 eV/f.u.
E_tot: -28.92 eV for the cell shown
calculated volume: 15.543 A^3/atom
density of states at the Fermi level: 4.137 states/eV per cell

---

The following is a DFT calculation (PBE) of a relaxed structure of TaCr3I.

Unit cell a=4.538 b=4.538 c=4.538 alpha=90.00 beta=90.00 gamma=90.00
Atoms (fractional coordinates):
I  0.000  0.000  0.000
Cr  0.000  0.500  0.000
Cr  0.000  0.000  0.500
Cr  0.500  0.000  0.000
Ta  0.500  0.500  0.500

Values from the calculation:
energy relative to the elements, uncorrected: 10.235 eV/f.u.
E_tot: -32.04 eV for the cell shown
calculated volume: 18.689 A^3/atom
density of states at the Fermi level: 4.642 states/eV per cell

---

The following is a DFT calculation (PBE) of a relaxed structure of TaCr3I.

Unit cell a=4.916 b=4.916 c=4.916 alpha=90.00 beta=90.00 gamma=90.00
Atoms (fractional coordinates):
I  0.500  0.500  0.500
Cr  0.000  0.500  0.000
Cr  0.000  0.000  0.500
Cr  0.500  0.000  0.000
Ta  0.000  0.000  0.000

Values from the calculation:
energy relative to the elements, uncorrected: 7.841 eV/f.u.
E_tot: -34.43 eV for the cell shown
calculated volume: 23.767 A^3/atom
density of states at the Fermi level: 2.384 states/eV per cell

---

The following is a DFT calculation (PBE) of a relaxed structure of TaCr2I.

Unit cell a=4.193 b=4.193 c=9.092 alpha=76.67 beta=76.67 gamma=90.00
Atoms (fractional coordinates):
I  0.500  0.500  0.000
I  0.250  0.750  0.500
Cr  0.627  0.125  0.250
Cr  0.123  0.625  0.250
Cr  0.375  0.373  0.750
Cr  0.875  0.877  0.750
Ta  0.000  0.000  0.000
Ta  0.750  0.250  0.500

Values from the calculation:
energy relative to the elements, uncorrected: 5.043 eV/f.u.
E_tot: -55.21 eV for the cell shown
calculated volume: 18.889 A^3/atom
density of states at the Fermi level: 7.974 states/eV per cell

---

The following is a DFT calculation (PBE) of a relaxed structure of TaCrTe2I.

Unit cell a=5.224 b=5.224 c=5.236 alpha=90.00 beta=90.00 gamma=90.00
Atoms (fractional coordinates):
I  0.000  0.000  0.500
Cr  0.000  0.000  0.000
Te  0.000  0.500  0.000
Te  0.500  0.000  0.000
Ta  0.500  0.500  0.500

Values from the calculation:
energy relative to the elements, uncorrected: 5.032 eV/f.u.
E_tot: -24.28 eV for the cell shown
calculated volume: 28.578 A^3/atom
density of states at the Fermi level: 3.871 states/eV per cell

---

The following is a DFT calculation (PBE) of a relaxed structure of TaCrTeI2.

Unit cell a=5.232 b=5.232 c=5.321 alpha=90.00 beta=90.00 gamma=90.00
Atoms (fractional coordinates):
I  0.000  0.500  0.000
I  0.500  0.000  0.000
Cr  0.000  0.000  0.000
Te  0.000  0.000  0.500
Ta  0.500  0.500  0.500

Values from the calculation:
energy relative to the elements, uncorrected: 5.839 eV/f.u.
E_tot: -21.88 eV for the cell shown
calculated volume: 29.135 A^3/atom
density of states at the Fermi level: 8.033 states/eV per cell

---

The following is a DFT calculation (PBE) of a relaxed structure of TaCrTe2I.

Unit cell a=5.417 b=5.417 c=5.631 alpha=90.00 beta=90.00 gamma=90.00
Atoms (fractional coordinates):
I  0.000  0.000  0.500
Cr  0.500  0.500  0.500
Te  0.000  0.500  0.000
Te  0.500  0.000  0.000
Ta  0.000  0.000  0.000

Values from the calculation:
energy relative to the elements, uncorrected: 3.032 eV/f.u.
E_tot: -26.28 eV for the cell shown
calculated volume: 33.048 A^3/atom
density of states at the Fermi level: 3.297 states/eV per cell

---

Question: The lowest calculated volume belongs to which entry?
Answer: number 6